VASP calculation (PBE) on a relaxed MgTlIn6 crystal.

Lattice parameters (Å, degrees): 4.799 4.799 9.238 90.00 90.00 90.00
Element x y z (fractional)
In 0.500 0.500 0.500
In 0.500 0.000 0.265
Tl 0.000 0.000 0.000
Mg 0.000 0.000 0.500
In 0.000 0.500 0.265
In 0.500 0.500 0.000
In 0.500 0.000 0.735
In 0.000 0.500 0.735

Total DFT energy (no corrections) = -2.547 eV/atom
Formation energy from the elements = 0.002 eV per atom
SG = P4/mmm (123)
Fermi-level density of states = 3.7 states/eV per cell

VASP calculation (PBE) on a relaxed TlHgBr2 crystal.

Lattice parameters (Å, degrees): 5.676 5.676 5.676 127.14 112.70 90.59
Element x y z (fractional)
Br 0.524 0.524 0.000
Hg 0.750 0.250 0.500
Br 0.976 0.976 0.000
Tl 0.250 0.750 0.500

ΔE to the lowest computed polymorph = 0.42 eV per formula unit
Total DFT energy (no corrections) = -1.921 eV/atom
SG = Immm (71)
Fermi-level density of states = 2.1 states/eV per cell
Formation energy without anion corrections = -417 meV/atom

VASP calculation (PBE) on a relaxed Ba2Zn6CuPd crystal.

Lattice parameters (Å, degrees): 6.938 6.939 6.934 59.91 59.91 90.01
Element x y z (fractional)
Cu 0.500 0.500 0.000
Zn 0.255 0.255 0.000
Zn 0.745 0.745 0.000
Zn 0.255 0.746 0.000
Zn 0.255 0.255 0.491
Zn 0.745 0.745 0.509
Ba 0.750 0.250 0.500
Pd 0.000 0.000 0.000
Zn 0.745 0.254 0.000
Ba 0.250 0.750 0.500

Total DFT energy (no corrections) = -2.288 eV/atom
Formation energy from the elements = -0.210 eV per atom
SG = C2/m (12)
Fermi-level density of states = 5.1 states/eV per cell

VASP calculation (PBE) on a relaxed Ca2RhPb crystal.

Lattice parameters (Å, degrees): 5.087 5.087 3.811 90.00 90.00 90.00
Element x y z (fractional)
Rh 0.000 0.500 0.500
Pb 0.500 0.000 0.500
Ca 0.500 0.500 0.000
Ca 0.000 0.000 0.000

Total DFT energy (no corrections) = -4.088 eV/atom
Formation energy from the elements = -0.322 eV per atom
SG = P4/mmm (123)
Fermi-level density of states = 1.8 states/eV per cell